# 1
! ZnCoPC (PBE, optimized geometry); values from VASP
! - DOS(E_F): 0.39 states/eV per atom
! - Energy: -5.44 eV/atom
! - ΔE_f: 0.3123 eV/atom
! - Energy above the most stable polymorph in this dataset: 87 meV per atom
&SYSTEM
  ibrav = 0, nat = 4, ntyp = 4
/
ATOMIC_SPECIES
P 30.97 P.upf
Zn 65.41 Zn.upf
Co 58.93 Co.upf
C 12.01 C.upf
ATOMIC_POSITIONS angstrom
P -1.0743 0.0000 5.5230
Zn -0.3089 0.0000 2.3090
Co 1.2790 1.4403 3.8249
C -0.2552 1.4403 4.9156
CELL_PARAMETERS angstrom
3.1964 0.0000 -0.0061
0.0000 2.8806 0.0000
-1.2442 0.0000 5.6092

# 2
! ZnCoPC (PBE, optimized geometry); values from VASP
! - DOS(E_F): 0.46 states/eV per atom
! - Energy: -5.41 eV/atom
! - ΔE_f: 0.3432 eV/atom
! - Energy above the most stable polymorph in this dataset: 118 meV per atom
&SYSTEM
  ibrav = 0, nat = 4, ntyp = 4
/
ATOMIC_SPECIES
P 30.97 P.upf
Zn 65.41 Zn.upf
Co 58.93 Co.upf
C 12.01 C.upf
ATOMIC_POSITIONS angstrom
P 0.0000 0.0000 4.4066
Zn 1.3830 2.0581 2.4325
Co 0.0000 0.0000 2.2795
C 1.3830 0.0000 0.7308
CELL_PARAMETERS angstrom
2.7661 0.0000 0.0000
0.0000 4.1163 0.0000
0.0000 0.0000 4.7299

# 3
! ZnCoPC (PBE, optimized geometry); values from VASP
! - DOS(E_F): 0.27 states/eV per atom
! - Energy: -5.32 eV/atom
! - ΔE_f: 0.4361 eV/atom
! - Energy above the most stable polymorph in this dataset: 210 meV per atom
&SYSTEM
  ibrav = 0, nat = 4, ntyp = 4
/
ATOMIC_SPECIES
P 30.97 P.upf
Zn 65.41 Zn.upf
Co 58.93 Co.upf
C 12.01 C.upf
ATOMIC_POSITIONS angstrom
P 0.7192 1.3925 4.2346
Zn 0.6223 0.0000 1.8883
Co 2.6206 1.3925 3.3135
C -0.2701 0.0000 4.7297
CELL_PARAMETERS angstrom
3.8646 0.0000 0.0135
0.0000 2.7850 0.0000
-1.4737 0.0000 4.7834

# 4
! ZnCoPC (PBE, optimized geometry); values from VASP
! - DOS(E_F): 0.69 states/eV per atom
! - Energy: -5.45 eV/atom
! - ΔE_f: 0.2996 eV/atom
! - Energy above the most stable polymorph in this dataset: 74 meV per atom
&SYSTEM
  ibrav = 0, nat = 8, ntyp = 4
/
ATOMIC_SPECIES
P 30.97 P.upf
Zn 65.41 Zn.upf
Co 58.93 Co.upf
C 12.01 C.upf
ATOMIC_POSITIONS angstrom
P 0.0000 0.0000 3.1989
P 0.0000 1.4111 8.2425
Zn 2.0093 0.0000 6.1712
Zn 2.0093 1.4111 1.1275
Co 0.0000 0.0000 1.0554
Co 0.0000 1.4111 6.0991
C 0.0000 0.0000 9.2685
C 0.0000 1.4111 4.2249
CELL_PARAMETERS angstrom
4.0187 0.0000 0.0000
0.0000 2.8221 0.0000
0.0000 0.0000 10.0873

# 5
! ZnCoPC (PBE, optimized geometry); values from VASP
! - DOS(E_F): 0.61 states/eV per atom
! - Energy: -5.41 eV/atom
! - ΔE_f: 0.3459 eV/atom
! - Energy above the most stable polymorph in this dataset: 120 meV per atom
&SYSTEM
  ibrav = 0, nat = 8, ntyp = 4
/
ATOMIC_SPECIES
P 30.97 P.upf
Zn 65.41 Zn.upf
Co 58.93 Co.upf
C 12.01 C.upf
ATOMIC_POSITIONS angstrom
P 0.9993 3.3040 4.5497
P 3.9302 5.9778 9.2847
Zn 0.8623 1.3585 1.4839
Zn 3.7931 4.0323 6.2189
Co 2.7115 6.0016 7.4963
Co 0.8961 1.1976 4.0632
C 2.5899 4.0804 4.4572
C 0.7746 -0.7235 1.0240
CELL_PARAMETERS angstrom
-2.3573 -0.2548 1.6030
1.1155 -2.1301 1.3019
4.7463 7.4778 8.1682

# 6
! ZnCoPC (PBE, optimized geometry); values from VASP
! - DOS(E_F): 0.13 states/eV per atom
! - Energy: -5.53 eV/atom
! - ΔE_f: 0.2257 eV/atom
! - Energy above the most stable polymorph in this dataset: 0 meV per atom
&SYSTEM
  ibrav = 0, nat = 12, ntyp = 4
/
ATOMIC_SPECIES
P 30.97 P.upf
Zn 65.41 Zn.upf
Co 58.93 Co.upf
C 12.01 C.upf
ATOMIC_POSITIONS angstrom
P -0.1122 0.6047 0.4181
P -0.4330 10.5680 8.0414
P -0.7901 4.7461 5.3062
Zn -1.5576 8.3915 5.8018
Zn 0.9369 3.1874 2.9385
Zn -2.2354 12.5329 10.6898
Co -2.2161 11.9390 8.2546
Co 0.2784 6.7349 5.3913
Co -0.0786 0.9130 2.6560
C -1.8803 10.1302 7.0039
C 0.6142 4.9261 4.1406
C 0.2572 -0.8958 1.4053
CELL_PARAMETERS angstrom
-1.0348 -1.6805 2.1528
2.8515 0.6178 -0.1280
-2.8153 15.1674 10.4866

# 7
! ZnCoPC (PBE, optimized geometry); values from VASP
! - DOS(E_F): 0.41 states/eV per atom
! - Energy: -5.36 eV/atom
! - ΔE_f: 0.3901 eV/atom
! - Energy above the most stable polymorph in this dataset: 164 meV per atom
&SYSTEM
  ibrav = 0, nat = 8, ntyp = 4
/
ATOMIC_SPECIES
P 30.97 P.upf
Zn 65.41 Zn.upf
Co 58.93 Co.upf
C 12.01 C.upf
ATOMIC_POSITIONS angstrom
P 0.1033 -0.0653 3.6283
P 2.9761 0.1817 7.9345
Zn 0.2617 0.1796 0.5688
Zn 3.1345 0.4266 4.8751
Co 3.1071 2.1319 6.7536
Co 1.9761 -0.3682 2.3572
C 2.5408 1.6071 8.9264
C 1.4098 -0.8930 4.5300
CELL_PARAMETERS angstrom
-2.3582 -1.8905 1.6817
1.7419 -2.2531 -0.0902
4.0038 2.7472 8.7026

# 8
! ZnCoPC (PBE, optimized geometry); values from VASP
! - DOS(E_F): 0.51 states/eV per atom
! - Energy: -5.32 eV/atom
! - ΔE_f: 0.4384 eV/atom
! - Energy above the most stable polymorph in this dataset: 213 meV per atom
&SYSTEM
  ibrav = 0, nat = 4, ntyp = 4
/
ATOMIC_SPECIES
P 30.97 P.upf
Zn 65.41 Zn.upf
Co 58.93 Co.upf
C 12.01 C.upf
ATOMIC_POSITIONS angstrom
P -5.6662 -0.1839 0.8392
Zn -4.4544 -2.1748 -0.4954
Co -1.9915 -1.3475 -0.6008
C -2.8078 -1.7225 1.1333
CELL_PARAMETERS angstrom
-1.3614 -2.7607 -1.2387
-1.4065 -2.2127 2.0339
-4.4710 2.4093 -0.4621

# 9
! ZnCoPC (PBE, optimized geometry); values from VASP
! - DOS(E_F): 0.72 states/eV per atom
! - Energy: -5.43 eV/atom
! - ΔE_f: 0.3238 eV/atom
! - Energy above the most stable polymorph in this dataset: 98 meV per atom
&SYSTEM
  ibrav = 0, nat = 4, ntyp = 4
/
ATOMIC_SPECIES
P 30.97 P.upf
Zn 65.41 Zn.upf
Co 58.93 Co.upf
C 12.01 C.upf
ATOMIC_POSITIONS angstrom
P 0.0000 0.0000 4.5424
Zn 0.0000 0.0000 2.0685
Co 1.3256 1.4541 0.4821
C 0.0000 1.4541 5.5912
CELL_PARAMETERS angstrom
2.6512 0.0000 0.0000
0.0000 2.9082 0.0000
0.0000 0.0000 6.4860

# 10
! ZrCoP2C (PBE, optimized geometry); values from VASP
! - DOS(E_F): 0.95 states/eV per atom
! - Energy: -4.90 eV/atom
! - ΔE_f: 2.2353 eV/atom
&SYSTEM
  ibrav = 0, nat = 5, ntyp = 4
/
ATOMIC_SPECIES
P 30.97 P.upf
C 12.01 C.upf
Co 58.93 Co.upf
Zr 91.22 Zr.upf
ATOMIC_POSITIONS angstrom
P -2.1780 1.1158 -0.4067
P -0.0268 -0.8957 -2.3132
C -3.3580 -1.7482 -1.9445
Co -1.1532 -1.9683 0.7755
Zr 0.0000 0.0000 0.0000
CELL_PARAMETERS angstrom
-0.0537 -1.7913 -4.6265
-2.3063 -3.9366 1.5510
-4.3560 2.2315 -0.8135

# 11
! PaCoC (PBE, optimized geometry); values from VASP
! - DOS(E_F): 0.22 states/eV per atom
! - Energy: -8.91 eV/atom
! - ΔE_f: -0.3025 eV/atom
! - Energy above the most stable polymorph in this dataset: 47 meV per atom
&SYSTEM
  ibrav = 0, nat = 6, ntyp = 3
/
ATOMIC_SPECIES
Pa 231.04 Pa.upf
Co 58.93 Co.upf
C 12.01 C.upf
ATOMIC_POSITIONS angstrom
Pa 2.0335 -0.4683 3.3136
Pa -0.8885 -0.6411 1.4612
Co 1.2208 1.0721 1.2132
Co 3.0144 1.5903 4.8132
C 4.1428 1.2451 3.0654
C 0.0924 1.4173 2.9609
CELL_PARAMETERS angstrom
0.1682 3.5990 -0.6010
-1.7769 -1.2822 2.9225
5.8439 0.3456 3.7048

# 12
! PaCo3C3 (PBE, optimized geometry); values from VASP
! - DOS(E_F): 0.98 states/eV per atom
! - Energy: -7.99 eV/atom
! - ΔE_f: 0.3682 eV/atom
&SYSTEM
  ibrav = 0, nat = 14, ntyp = 3
/
ATOMIC_SPECIES
Pa 231.04 Pa.upf
Co 58.93 Co.upf
C 12.01 C.upf
ATOMIC_POSITIONS angstrom
Pa 0.6870 4.0831 2.3574
Pa 2.0609 0.0000 4.7147
Co 2.0609 4.8036 5.3407
Co 2.0609 6.3064 0.2416
Co 0.6870 2.9439 5.5823
Co 2.0609 1.1391 1.4897
Co 0.6870 -2.2233 6.8304
Co 0.6870 -0.7206 1.7314
C 2.0609 2.0702 3.1666
C 2.0609 5.7904 3.6959
C 0.6870 -0.3056 6.8626
C 2.0609 4.3886 0.2095
C 0.6870 -1.7073 3.3761
C 0.6870 2.0129 3.9054
CELL_PARAMETERS angstrom
2.7479 0.0000 0.0000
0.0000 8.1661 0.0000
0.0000 -4.0831 7.0721